(1)
Material: Zr2SiHg
Method: DFT, PBEsol
State: relaxed

a b c (Å): 3.046 3.958 6.269
angles (deg): 90.00 90.00 90.00
Fractional positions:
Zr 0.000 0.000 0.736
Zr 0.000 0.000 0.264
Si 0.500 0.500 0.500
Hg 0.500 0.500 0.000

Summary:
DOS(E_F): 0.70 states/eV per atom
E_form (uncorrected): -1.747 eV/f.u.
symmetry: Pmmm

(2)
Material: BaSr
Method: DFT, PBEsol
State: relaxed

a b c (Å): 4.785 4.785 4.785
angles (deg): 90.00 90.00 90.00
Fractional positions:
Ba 0.000 0.000 0.000
Sr 0.500 0.500 0.500

Summary:
calculated formation energy: 4 meV/atom
DOS(E_F): 1.24 states/eV per atom
symmetry: Pm-3m
distance to the lowest polymorph of the same formula: 0.006 eV/atom

(3)
Material: ZrMnIr
Method: DFT, PBEsol
State: relaxed

a b c (Å): 4.340 4.340 4.340
angles (deg): 60.00 60.00 60.00
Each line ends with the local moment (μB).
Fractional positions:
Ir 0.750 0.750 0.750  0.21
Mn 0.000 0.000 0.000  3.63
Zr 0.500 0.500 0.500  -0.12

Summary:
calculated formation energy: -41 meV/atom
DOS(E_F): 0.80 states/eV per atom
symmetry: F-43m